Entry P
A plane-wave DFT calculation with PBE-GGA was carried out for a relaxed HoPbS2 crystal.

```
HoPbS2
1.0
1.956 1.129 8.667
-1.956 1.129 8.667
0.000 -2.259 8.667
Ho Pb S
1 1 2
Direct
0.000 0.000 0.000
0.500 0.500 0.500
0.391 0.391 0.391
0.609 0.609 0.609
```

SG: R-3m, No. 166
Crystal system: trigonal
N(E_F), states/eV/cell: 1.20
Total magnetic moment, μB per cell: 0.00

Entry Q
A plane-wave DFT calculation with PBE-GGA was carried out for a relaxed HoPbS2 crystal.

```
HoPbS2
1.0
4.275 0.000 0.000
0.005 6.779 0.000
0.019 0.010 8.862
Ho Pb S
2 2 4
Direct
0.000 0.000 0.000
0.499 0.500 0.223
0.500 0.379 0.794
0.997 0.879 0.428
0.001 0.138 0.724
0.497 0.637 0.498
0.500 0.778 0.012
0.999 0.278 0.210
```

SG: P1, No. 1
Crystal system: triclinic
N(E_F), states/eV/cell: 3.62
Total magnetic moment, μB per cell: 0.00

Energies in meV/atom, measured from the most stable structure: entry P 0; entry Q 251.

Entry P
A plane-wave DFT calculation with PBE-GGA was carried out for a relaxed HoScPb crystal.

```
HoScPb
1.0
-1.910 1.910 5.492
1.910 -1.910 5.492
1.910 1.910 -5.492
Ho Sc Pb
1 1 1
Direct
0.000 0.000 0.000
0.681 0.681 0.000
0.326 0.326 0.000
```

SG: I4mm, No. 107
Crystal system: tetragonal
N(E_F), states/eV/cell: 2.67
Total magnetic moment, μB per cell: 1.36

Entry Q
A plane-wave DFT calculation with PBE-GGA was carried out for a relaxed HoScPb crystal.

```
HoScPb
1.0
2.512 1.451 8.220
-2.512 1.451 8.220
0.000 -2.901 8.220
Ho Sc Pb
2 2 2
Direct
0.125 0.125 0.125
0.875 0.875 0.875
0.375 0.375 0.375
0.625 0.625 0.625
0.254 0.254 0.254
0.746 0.746 0.746
```

SG: R-3m, No. 166
Crystal system: trigonal
N(E_F), states/eV/cell: 7.20
Total magnetic moment, μB per cell: 1.47

Energies in meV/atom, measured from the most stable structure: entry P 0; entry Q 98.